Here is a geometry-optimized SrTa2As2 structure from Alexandria. Energies are from PBE.

Cell: 5.724 5.724 5.724 Å, 128.35 128.35 76.05°
Fractional positions:
Sr: 0.000 0.000 0.000
Ta: 0.359 0.359 0.000
Ta: 0.641 0.641 0.000
As: 0.250 0.750 0.500
As: 0.750 0.250 0.500

The formation energy comes out at -0.225 eV/atom. The total energy comes out at -35.812 eV/cell. The volume comes out at 112.14 Å³/cell. The total magnetization is 0.00 μB/cell.

=====

Here is a geometry-optimized SrTaAs3 structure from Alexandria. Energies are from PBE.

Cell: 5.282 5.282 5.282 Å, 90.00 90.00 90.00°
Fractional positions:
Sr: 0.000 0.000 0.000
Ta: 0.500 0.500 0.500
As: 0.000 0.000 0.500
As: 0.000 0.500 0.000
As: 0.500 0.000 0.000

The formation energy comes out at 1.800 eV/atom. Its polymorph energy (0 for the lowest one) is 2.2168 eV/atom. The total energy comes out at -18.484 eV/cell. The volume comes out at 147.39 Å³/cell. The total magnetization is 0.00 μB/cell.

=====

Here is a geometry-optimized SrTaAs2 structure from Alexandria. Energies are from PBE.

Cell: 7.679 7.679 7.679 Å, 153.66 152.19 38.68°
Fractional positions:
Sr: 0.000 0.000 0.000
Ta: 0.251 0.751 0.500
As: 0.381 0.381 0.000
As: 0.680 0.180 0.500

The formation energy comes out at -0.517 eV/atom. Its polymorph energy (0 for the lowest one) is 0.1689 eV/atom. The total energy comes out at -24.901 eV/cell. The volume comes out at 93.60 Å³/cell. The total magnetization is 0.00 μB/cell.